[1]
The following is a PBE-GGA calculation of a relaxed Sm2Si2O7 crystal, from OQMD.

Properties
The crystal system is tetragonal. The magnetic moment comes out at 0.00 μB/cell.

Lattice parameters (Å, degrees): 6.6621 6.6621 24.2796 90.00 90.00 90.00
Last column: nearest neighbours and their distance in Å.
Space group P4_1 (No. 76)
Inequivalent atoms, fractional coordinates:
Sm 0.0196 0.6607 0.0000 [4 per cell]  7 O 2.35-2.60
Sm 0.1605 0.5839 0.3532 [4 per cell]  6 O 2.28-2.54
Sm 0.2172 0.2723 0.1025 [4 per cell]  7 O 2.36-2.58
Sm 0.2489 0.3670 0.7411 [4 per cell]  6 O 2.37-2.50
Si 0.1015 0.1870 0.9660 [4 per cell]  4 O 1.61-1.68
Si 0.1274 0.7648 0.1224 [4 per cell]  4 O 1.61-1.66
Si 0.2219 0.5091 0.2235 [4 per cell]  4 O 1.61-1.68
Si 0.2499 0.6452 0.6166 [4 per cell]  4 O 1.62-1.67
O 0.0106 0.0350 0.7415 [4 per cell]  1 Si 1.61
O 0.0489 0.2686 0.3924 [4 per cell]  1 Si 1.63
O 0.0517 0.4689 0.2699 [4 per cell]  1 Si 1.62
O 0.0598 0.6387 0.4459 [4 per cell]  1 Si 1.66
O 0.0723 0.1705 0.5897 [4 per cell]  1 Si 1.61
O 0.0756 0.6183 0.1755 [4 per cell]  2 Si 1.66-1.68
O 0.0937 0.6072 0.5657 [4 per cell]  1 Si 1.64
O 0.1071 0.7811 0.6590 [4 per cell]  2 Si 1.67-1.68
O 0.2179 0.4304 0.8410 [4 per cell]  1 Si 1.63
O 0.2656 0.2985 0.0055 [4 per cell]  1 Si 1.63
O 0.2705 0.6278 0.0815 [4 per cell]  1 Si 1.65
O 0.3090 0.6892 0.9456 [4 per cell]  1 Si 1.61
O 0.3372 0.4531 0.6494 [4 per cell]  1 Si 1.62
O 0.3394 0.3880 0.4995 [4 per cell]  1 Si 1.63

[2]
The following is a PBE-GGA calculation of a relaxed Sm4SiO3 crystal, from OQMD.

Properties
The crystal system is tetragonal. The magnetic moment comes out at 0.02 μB/cell.

Lattice parameters (Å, degrees): 5.2682 5.2682 10.3440 90.00 90.00 90.00
Last column: nearest neighbours and their distance in Å.
Space group I4/mmm (No. 139)
Inequivalent atoms, fractional coordinates:
Sm 0.0000 0.0000 0.2341 [4 per cell]  5 O 2.42-2.64
Sm 0.0000 0.5000 0.0000 [4 per cell]  4 O 2.59-2.63, 2 Si 2.63
Si 0.0000 0.0000 0.5000 [2 per cell]  6 Sm 2.63-2.75
O 0.0000 0.0000 0.0000 [2 per cell]  6 Sm 2.42-2.63
O 0.0000 0.5000 0.2500 [4 per cell]  6 Sm 2.59-2.64

[3]
The following is a PBE-GGA calculation of a relaxed Sm2SiO4 crystal, from OQMD.

Properties
The crystal system is orthorhombic. The magnetic moment comes out at 0.00 μB/cell. As for the energy above the most stable polymorph in this dataset: 0 meV per atom.

Lattice parameters (Å, degrees): 6.7164 5.4752 10.1457 90.00 90.00 90.00
Last column: nearest neighbours and their distance in Å.
Space group Pnma (No. 62)
Inequivalent atoms, fractional coordinates:
Sm 0.0319 0.2500 0.1873 [4 per cell]  2 O 2.24-2.33
Sm 0.1128 0.2500 0.5489 [4 per cell]  6 O 2.36-2.60
Si 0.1602 0.2500 0.8373 [4 per cell]  3 O 1.69
O 0.0335 0.7500 0.0565 [4 per cell]  1 Si 1.69
O 0.1513 0.7500 0.6172 [4 per cell]  3 Sm 2.24-2.45
O 0.1951 0.5049 0.3694 [8 per cell]  1 Si 1.69

[4]
The following is a PBE-GGA calculation of a relaxed Sm2Si2O7 crystal, from OQMD.

Properties
The crystal system is triclinic. The magnetic moment comes out at 0.00 μB/cell.

Lattice parameters (Å, degrees): 6.6846 6.7281 12.1734 94.27 90.31 91.34
Last column: nearest neighbours and their distance in Å.
Space group P-1 (No. 2)
Inequivalent atoms, fractional coordinates:
Sm 0.0537 0.3280 0.1171 [2 per cell]  7 O 2.31-2.47
Sm 0.1187 0.0881 0.3604 [2 per cell]  6 O 2.28-2.56
Sm 0.3344 0.8273 0.1053 [2 per cell]  6 O 2.32-2.49
Sm 0.3704 0.2305 0.6294 [2 per cell]  6 O 2.23-2.42
Si 0.1451 0.6254 0.3853 [2 per cell]  4 O 1.61-1.69
Si 0.1534 0.1521 0.8832 [2 per cell]  4 O 1.61-1.66
Si 0.3735 0.7305 0.5968 [2 per cell]  4 O 1.60-1.67
Si 0.4868 0.6687 0.8249 [2 per cell]  4 O 1.61-1.73
O 0.9997 0.0089 0.1833 [2 per cell]  1 Si 1.64
O 0.0017 0.6658 0.0810 [2 per cell]  1 Si 1.66
O 0.0340 0.2297 0.5665 [2 per cell]  1 Si 1.64
O 0.0718 0.4212 0.3174 [2 per cell]  1 Si 1.61
O 0.2252 0.9101 0.6240 [2 per cell]  1 Si 1.60
O 0.2417 0.0924 0.0007 [2 per cell]  1 Si 1.63
O 0.2856 0.7757 0.3148 [2 per cell]  1 Si 1.65
O 0.2924 0.5743 0.4922 [2 per cell]  2 Si 1.67-1.69
O 0.3010 0.7130 0.9066 [2 per cell]  1 Si 1.61
O 0.3430 0.2159 0.8112 [2 per cell]  1 Si 1.61
O 0.3626 0.4892 0.1269 [2 per cell]  1 Si 1.62
O 0.3771 0.1408 0.2106 [2 per cell]  1 Si 1.64
O 0.3963 0.5778 0.6972 [2 per cell]  2 Si 1.66-1.73
O 0.4203 0.1672 0.4432 [2 per cell]  1 Si 1.62

[5]
The following is a PBE-GGA calculation of a relaxed SmSiO3 crystal, from OQMD.

Properties
The crystal system is triclinic. The magnetic moment comes out at 0.00 μB/cell.

Lattice parameters (Å, degrees): 3.6816 5.4540 6.4683 99.06 90.40 108.97
Last column: nearest neighbours and their distance in Å.
Space group P1 (No. 1)
Inequivalent atoms, fractional coordinates:
Sm 0.0000 0.0000 0.0000 [1 per cell]  6 O 2.29-2.47
Sm 0.4240 0.8495 0.4843 [1 per cell]  8 O 2.35-2.58
Si 0.4628 0.4163 0.7698 [1 per cell]  3 O 1.72-1.75
Si 0.6977 0.4243 0.2797 [1 per cell]  4 O 1.66-1.84
O 0.0884 0.1370 0.6565 [1 per cell]  1 Si 1.74
O 0.1932 0.4199 0.2493 [1 per cell]  2 Si 1.84-1.86
O 0.3834 0.7138 0.8232 [1 per cell]  1 Si 1.72
O 0.5465 0.1000 0.2123 [1 per cell]  1 Si 1.66
O 0.7139 0.4946 0.5481 [1 per cell]  2 Si 1.71-1.75
O 0.8641 0.7418 0.2569 [1 per cell]  1 Si 1.67

[6]
The following is a PBE-GGA calculation of a relaxed Sm2SiO5 crystal, from OQMD.

Properties
The crystal system is monoclinic. The magnetic moment comes out at 0.00 μB/cell.

Lattice parameters (Å, degrees): 9.1961 7.0310 6.8062 90.00 107.57 90.00
Last column: nearest neighbours and their distance in Å.
Space group P2_1/c (No. 14)
Inequivalent atoms, fractional coordinates:
Sm 0.0287 0.1225 0.2355 [4 per cell]  7 O 2.31-2.57
Sm 0.3877 0.1466 0.0876 [4 per cell]  7 O 2.32-2.59
Si 0.2967 0.5909 0.0437 [4 per cell]  4 O 1.61-1.66
O 0.1135 0.6399 0.9922 [4 per cell]  1 Si 1.65
O 0.1195 0.1199 0.9520 [4 per cell]  4 Sm 2.31-2.37
O 0.2986 0.0646 0.3613 [4 per cell]  1 Si 1.66
O 0.3621 0.0405 0.7490 [4 per cell]  1 Si 1.63
O 0.4044 0.7253 0.5619 [4 per cell]  1 Si 1.61

Number 1: E_tot -718.93 eV/cell. Number 2: E_tot -111.76 eV/cell. Number 3: E_tot -218.85 eV/cell. Number 4: E_tot -359.62 eV/cell. Number 5: E_tot -77.75 eV/cell. Number 6: E_tot -264.11 eV/cell.